# 1
A plane-wave DFT calculation with PBE-GGA was carried out for TaBe2Cl after structural relaxation.

```
4
Lattice="-1.109 4.057 -7.654 -3.869 3.017 -7.226 -3.037 5.593 -5.981" Properties=species:S:1:pos:R:3 pbc="T T T"
Cl -3.847 6.080 -10.013
Ta -5.948 9.400 -15.481
Be -8.003 12.648 -20.829
Be -2.240 3.540 -5.830
```

Energy relative to the lowest polymorph listed for this composition = 0.098 eV per atom
Volume = 16.46 Å³/atom
Raw formation energy = 0.2378 eV/atom
Electronic total energy = -5.05 eV/atom
D(E_F) = 0.35 states/eV/cell
Total moment = 0.00 μB/f.u.

=====

# 2
A plane-wave DFT calculation with PBE-GGA was carried out for TaBe2Cl after structural relaxation.

```
4
Lattice="2.868 0.009 0.000 -0.814 2.750 0.000 0.000 0.000 7.317" Properties=species:S:1:pos:R:3 pbc="T T T"
Ta 1.027 1.380 5.487
Cl 1.027 1.380 1.829
Be 0.000 0.000 3.656
Be 0.000 0.000 0.002
```

Energy relative to the lowest polymorph listed for this composition = 0.163 eV per atom
Volume = 14.44 Å³/atom
Raw formation energy = 0.3023 eV/atom
Electronic total energy = -4.99 eV/atom
D(E_F) = 1.16 states/eV/cell
Total moment = 0.00 μB/f.u.